[1]
La2PmCl8 | PBE | optimized geometry

Structure (POSCAR):
```
La2PmCl8
1.0
4.2287 -6.2536 0.0000
4.2287 6.2536 0.0000
-1.3885 0.0000 5.5749
La Pm Cl
2 1 8
direct
0.1860 0.8140 0.0000
0.8140 0.1860 0.0000
0.5000 0.5000 0.5000
0.1490 0.1490 0.3075
0.1693 0.4295 0.8814
0.2760 0.7240 0.5000
0.4295 0.1693 0.8814
0.5705 0.8307 0.1186
0.7240 0.2760 0.5000
0.8307 0.5705 0.1186
0.8510 0.8510 0.6925
```

## Properties
Formation energy from raw total energies = -2.1364 eV/atom
Theoretical density = 4.0 g/cm³
Energy = -4.81 eV per atom
M_tot = 1.28 μB per cell
Space group = No. 12


[2]
ErZrFe2 | PBE | optimized geometry

Structure (POSCAR):
```
ErZrFe2
1.0
3.2238 0.0000 0.0000
0.0000 3.2238 0.0000
0.0000 0.0000 6.5053
Er Zr Fe
1 1 2
direct
0.0000 0.0000 0.0000
0.0000 0.0000 0.5000
0.5000 0.5000 0.2710
0.5000 0.5000 0.7290
```

## Properties
Theoretical density = 9.1 g/cm³
Energy = -7.53 eV per atom
M_tot = 0.39 μB per cell
Formation enthalpy at 0 K = -2.01 kJ/mol of atoms
Space group = No. 123


[3]
Cr8Ir | PBE | optimized geometry

Structure (POSCAR):
```
Cr8Ir
1.0
-4.3330 4.3330 1.4378
4.3330 -4.3330 1.4378
4.3330 4.3330 -1.4378
Cr Ir
8 1
direct
0.0000 0.3349 0.3349
0.0000 0.6651 0.6651
0.3250 0.3250 0.6501
0.3250 0.6750 0.0000
0.3349 0.0000 0.3349
0.6651 0.0000 0.6651
0.6750 0.3250 0.0000
0.6750 0.6750 0.3499
0.0000 0.0000 0.0000
```

## Properties
Theoretical density = 9.4 g/cm³
Energy = -9.52 eV per atom
M_tot = 0.00 μB per cell
Formation enthalpy at 0 K = 1.55 kJ/mol of atoms
Space group = No. 139


[4]
Pm2Y8Tm3 | PBE | optimized geometry

Structure (POSCAR):
```
Pm2Y8Tm3
1.0
11.6987 0.0000 0.0000
0.0000 20.6887 0.0000
0.0000 0.0000 3.5227
Pm Y Tm
4 16 6
direct
0.1783 0.0996 0.0000
0.3217 0.5996 0.0000
0.6783 0.4004 0.0000
0.8217 0.9004 0.0000
0.0463 0.5719 0.0000
0.0551 0.8413 0.5000
0.1293 0.2856 0.0000
0.2088 0.4480 0.5000
0.2912 0.9480 0.5000
0.3707 0.7856 0.0000
0.4449 0.3413 0.5000
0.4537 0.0719 0.0000
0.5463 0.9281 0.0000
0.5551 0.6587 0.5000
0.6293 0.2144 0.0000
0.7088 0.0520 0.5000
0.7912 0.5520 0.5000
0.8707 0.7144 0.0000
0.9449 0.1587 0.5000
0.9537 0.4281 0.0000
0.0000 0.0000 0.5000
0.1454 0.7006 0.5000
0.3546 0.2006 0.5000
0.5000 0.5000 0.5000
0.6454 0.7994 0.5000
0.8546 0.2994 0.5000
```

## Properties
Theoretical density = 5.9 g/cm³
Energy = -5.60 eV per atom
M_tot = 0.01 μB per cell
E above lowest polymorph = 0.000 eV/atom
Formation enthalpy at 0 K = 14.04 kJ/mol of atoms
Space group = No. 55


[5]
Ac3NpSe6 | PBE | optimized geometry

Structure (POSCAR):
```
Ac3NpSe6
1.0
6.4479 3.7227 5.0177
-6.4479 3.7227 5.0177
0.0000 -7.4454 5.0177
Ac Np Se
6 2 12
direct
0.0689 0.5767 0.7511
0.2489 0.9311 0.4233
0.4233 0.2489 0.9311
0.5767 0.7511 0.0689
0.7511 0.0689 0.5767
0.9311 0.4233 0.2489
0.0000 0.0000 0.0000
0.5000 0.5000 0.5000
0.0404 0.9124 0.6906
0.0876 0.3094 0.9596
0.1926 0.5845 0.4255
0.3094 0.9596 0.0876
0.4155 0.5745 0.8074
0.4255 0.1926 0.5845
0.5745 0.8074 0.4155
0.5845 0.4255 0.1926
0.6906 0.0404 0.9124
0.8074 0.4155 0.5745
0.9124 0.6906 0.0404
0.9596 0.0876 0.3094
```

## Properties
Formation energy from raw total energies = -1.7587 eV/atom
Theoretical density = 6.4 g/cm³
Energy = -6.38 eV per atom
M_tot = 8.00 μB per cell
E above lowest polymorph = 0.000 eV/atom
Space group = No. 148


[6]
AlCo2Ni8 | PBE | optimized geometry

Structure (POSCAR):
```
AlCo2Ni8
1.0
3.6063 -5.4245 0.0000
3.6063 5.4245 0.0000
-1.9917 0.0000 3.2299
Al Co Ni
1 2 8
direct
0.0000 0.0000 0.0000
0.2616 0.5636 0.9127
0.5636 0.2616 0.9127
0.0008 0.3964 0.1988
0.1355 0.8304 0.4834
0.3964 0.0008 0.1988
0.4099 0.4099 0.4104
0.5453 0.8540 0.7000
0.6952 0.6952 0.1955
0.8304 0.1355 0.4834
0.8540 0.5453 0.7000
```

## Properties
Theoretical density = 8.1 g/cm³
Energy = -5.84 eV per atom
M_tot = 7.06 μB per cell
Formation enthalpy at 0 K = -0.43 kJ/mol of atoms
Space group = No. 8


[7]
LiMgCo2 | PBE | optimized geometry

Structure (POSCAR):
```
LiMgCo2
1.0
2.6901 0.0000 0.0000
-1.3450 2.3297 0.0000
0.0000 0.0000 26.5773
Li Mg Co
3 3 6
direct
0.0000 0.0000 0.0000
0.3333 0.6667 0.6667
0.6667 0.3333 0.3333
0.0000 0.0000 0.2349
0.3333 0.6667 0.9016
0.6667 0.3333 0.5682
0.0000 0.0000 0.4842
0.0000 0.0000 0.7476
0.3333 0.6667 0.1509
0.3333 0.6667 0.4143
0.6667 0.3333 0.0809
0.6667 0.3333 0.8176
```

## Properties
Theoretical density = 4.5 g/cm³
Energy = -4.21 eV per atom
M_tot = 8.94 μB per cell
Formation enthalpy at 0 K = 20.97 kJ/mol of atoms
Space group = No. 160


[8]
TmZnAg | PBE | optimized geometry

Structure (POSCAR):
```
TmZnAg
1.0
3.5596 0.0000 0.0000
0.0000 3.5596 0.0000
0.0000 0.0000 9.6130
Tm Zn Ag
2 2 2
direct
0.0000 0.0000 0.0000
0.5000 0.5000 0.5000
0.0000 0.0000 0.3248
0.5000 0.5000 0.8248
0.0000 0.0000 0.6853
0.5000 0.5000 0.1853
```

## Properties
Theoretical density = 9.3 g/cm³
Energy = -3.11 eV per atom
M_tot = 0.00 μB per cell
Formation enthalpy at 0 K = -23.87 kJ/mol of atoms
Space group = No. 107


[9]
FeAsAu | PBE | optimized geometry

Structure (POSCAR):
```
FeAsAu
1.0
3.9504 0.0000 0.0000
-1.9752 3.4211 0.0000
0.0000 0.0000 3.4927
Fe As Au
1 1 1
direct
0.0000 0.0000 0.0000
0.6667 0.3333 0.9641
0.3333 0.6667 0.4855
```

## Properties
Theoretical density = 11.5 g/cm³
Energy = -5.23 eV per atom
M_tot = 0.63 μB per cell
E above lowest polymorph = 0.069 eV/atom
Formation enthalpy at 0 K = 22.11 kJ/mol of atoms
Space group = No. 156


[10]
Mn4SbTe | PBE | optimized geometry

Structure (POSCAR):
```
Mn4SbTe
1.0
0.0000 3.6336 3.6336
3.6336 0.0000 3.6336
3.6336 3.6336 0.0000
Mn Sb Te
4 1 1
direct
0.1247 0.1247 0.1247
0.1247 0.1247 0.6259
0.1247 0.6259 0.1247
0.6259 0.1247 0.1247
0.7500 0.7500 0.7500
0.5000 0.5000 0.5000
```

## Properties
Formation energy from raw total energies = 0.4038 eV/atom
Theoretical density = 8.1 g/cm³
Energy = -6.92 eV per atom
M_tot = 9.93 μB per cell
Space group = No. 216


[11]
LaPrZnPd | PBE | optimized geometry

Structure (POSCAR):
```
LaPrZnPd
1.0
7.4093 0.0000 0.0000
0.0000 7.4093 0.0000
0.0000 0.0000 7.4093
La Pr Zn Pd
4 4 4 4
direct
0.0000 0.0000 0.0000
0.0000 0.5000 0.5000
0.5000 0.0000 0.5000
0.5000 0.5000 0.0000
0.0000 0.0000 0.5000
0.0000 0.5000 0.0000
0.5000 0.0000 0.0000
0.5000 0.5000 0.5000
0.2500 0.2500 0.2500
0.2500 0.7500 0.7500
0.7500 0.2500 0.7500
0.7500 0.7500 0.2500
0.2500 0.2500 0.7500
0.2500 0.7500 0.2500
0.7500 0.2500 0.2500
0.7500 0.7500 0.7500
```

## Properties
Theoretical density = 7.4 g/cm³
Energy = -4.53 eV per atom
M_tot = 0.00 μB per cell
E above lowest polymorph = 0.047 eV/atom
Formation enthalpy at 0 K = -47.32 kJ/mol of atoms
Space group = No. 216


[12]
Er5GaIr2 | PBE | optimized geometry

Structure (POSCAR):
```
Er5GaIr2
1.0
-3.8264 3.8264 6.5426
3.8264 -3.8264 6.5426
3.8264 3.8264 -6.5426
Er Ga Ir
10 2 4
direct
0.0000 0.0000 0.0000
0.0223 0.5223 0.8211
0.2012 0.0223 0.5000
0.2988 0.7988 0.8211
0.4777 0.2988 0.5000
0.5000 0.5000 0.0000
0.5223 0.7012 0.5000
0.7012 0.2012 0.1789
0.7988 0.9777 0.5000
0.9777 0.4777 0.1789
0.2500 0.2500 0.0000
0.7500 0.7500 0.0000
0.1392 0.3608 0.5000
0.3608 0.8608 0.2215
0.6392 0.1392 0.7785
0.8608 0.6392 0.5000
```

## Properties
Theoretical density = 11.2 g/cm³
Energy = -6.16 eV per atom
M_tot = 0.00 μB per cell
Formation enthalpy at 0 K = -69.09 kJ/mol of atoms
Space group = No. 140


Please write out number 5 again, unchanged.
Ac3NpSe6 | PBE | optimized geometry

Structure (POSCAR):
```
Ac3NpSe6
1.0
6.4479 3.7227 5.0177
-6.4479 3.7227 5.0177
0.0000 -7.4454 5.0177
Ac Np Se
6 2 12
direct
0.0689 0.5767 0.7511
0.2489 0.9311 0.4233
0.4233 0.2489 0.9311
0.5767 0.7511 0.0689
0.7511 0.0689 0.5767
0.9311 0.4233 0.2489
0.0000 0.0000 0.0000
0.5000 0.5000 0.5000
0.0404 0.9124 0.6906
0.0876 0.3094 0.9596
0.1926 0.5845 0.4255
0.3094 0.9596 0.0876
0.4155 0.5745 0.8074
0.4255 0.1926 0.5845
0.5745 0.8074 0.4155
0.5845 0.4255 0.1926
0.6906 0.0404 0.9124
0.8074 0.4155 0.5745
0.9124 0.6906 0.0404
0.9596 0.0876 0.3094
```

## Properties
Formation energy from raw total energies = -1.7587 eV/atom
Theoretical density = 6.4 g/cm³
Energy = -6.38 eV per atom
M_tot = 8.00 μB per cell
E above lowest polymorph = 0.000 eV/atom
Space group = No. 148


- The highest theoretical density belongs to which entry?
  FeAsAu


- Which of these has the highest energy?
  TmZnAg